No. 1
Density functional theory data (PBE-GGA) for a geometry-optimized Hf2BiPd9 structure.

CIF file:
```
data_Hf2BiPd9
_symmetry_space_group_name_H-M 'P 1'
_symmetry_Int_Tables_number 1
_cell_length_a 4.0454
_cell_length_b 4.0454
_cell_length_c 12.2331
_cell_angle_alpha 90.00
_cell_angle_beta 90.00
_cell_angle_gamma 90.00
loop_
_symmetry_equiv_pos_as_xyz
'x,y,z'
loop_
_atom_site_label
_atom_site_type_symbol
_atom_site_fract_x
_atom_site_fract_y
_atom_site_fract_z
Hf1 Hf 0.0000 0.0000 0.1630
Hf2 Hf 0.0000 0.0000 0.8370
Bi1 Bi 0.0000 0.0000 0.5000
Pd1 Pd 0.0000 0.5000 0.0000
Pd2 Pd 0.0000 0.5000 0.3214
Pd3 Pd 0.0000 0.5000 0.6786
Pd4 Pd 0.5000 0.0000 0.0000
Pd5 Pd 0.5000 0.0000 0.3214
Pd6 Pd 0.5000 0.0000 0.6786
Pd7 Pd 0.5000 0.5000 0.1622
Pd8 Pd 0.5000 0.5000 0.5000
Pd9 Pd 0.5000 0.5000 0.8378
```

Results
Its space-group type is P4/mmm, No. 123. Its density is 12.6 Mg/m³. As for the size of the total moment: 0.000 μB per formula unit. The calculation puts the total DFT energy (no corrections) at -6.543 eV per atom.

=====

No. 2
Density functional theory data (PBE-GGA) for a geometry-optimized Fe3Ni7Pt2 structure.

CIF file:
```
data_Fe3Ni7Pt2
_symmetry_space_group_name_H-M 'P 1'
_symmetry_Int_Tables_number 1
_cell_length_a 4.0647
_cell_length_b 2.6030
_cell_length_c 14.3090
_cell_angle_alpha 90.00
_cell_angle_beta 93.89
_cell_angle_gamma 90.00
loop_
_symmetry_equiv_pos_as_xyz
'x,y,z'
loop_
_atom_site_label
_atom_site_type_symbol
_atom_site_fract_x
_atom_site_fract_y
_atom_site_fract_z
Fe1 Fe 0.0000 0.0000 0.0000
Fe2 Fe 0.2779 0.5000 0.6184
Fe3 Fe 0.7221 0.5000 0.3816
Ni1 Ni 0.1795 0.5000 0.1360
Ni2 Ni 0.2411 0.0000 0.4612
Ni3 Ni 0.3170 0.0000 0.8472
Ni4 Ni 0.5000 0.5000 0.0000
Ni5 Ni 0.6830 0.0000 0.1528
Ni6 Ni 0.7589 0.0000 0.5388
Ni7 Ni 0.8205 0.5000 0.8640
Pt1 Pt 0.1990 0.0000 0.2884
Pt2 Pt 0.8010 0.0000 0.7116
```

Results
Its space-group type is P2/m, No. 10. Its density is 10.6 Mg/m³. As for the size of the total moment: 1.953 μB per formula unit. The calculation puts the total DFT energy (no corrections) at -6.427 eV per atom.

=====

No. 3
Density functional theory data (PBE-GGA) for a geometry-optimized Ca3NiW structure.

CIF file:
```
data_Ca3NiW
_symmetry_space_group_name_H-M 'P 1'
_symmetry_Int_Tables_number 1
_cell_length_a 5.2858
_cell_length_b 5.2858
_cell_length_c 5.2858
_cell_angle_alpha 90.00
_cell_angle_beta 90.00
_cell_angle_gamma 90.00
loop_
_symmetry_equiv_pos_as_xyz
'x,y,z'
loop_
_atom_site_label
_atom_site_type_symbol
_atom_site_fract_x
_atom_site_fract_y
_atom_site_fract_z
Ca1 Ca 0.0000 0.0000 0.5000
Ca2 Ca 0.0000 0.5000 0.0000
Ca3 Ca 0.5000 0.0000 0.0000
Ni1 Ni 0.0000 0.0000 0.0000
W1 W 0.5000 0.5000 0.5000
```

Results
As for the energy relative to the lowest polymorph listed for this composition: 0.0 kJ per mole of atoms. Its space-group type is Pm-3m, No. 221. Its density is 4.1 Mg/m³. As for the size of the total moment: 4.190 μB per formula unit.

=====

No. 4
Density functional theory data (PBE-GGA) for a geometry-optimized NpOsW structure.

CIF file:
```
data_NpOsW
_symmetry_space_group_name_H-M 'P 1'
_symmetry_Int_Tables_number 1
_cell_length_a 7.5646
_cell_length_b 5.4684
_cell_length_c 5.2291
_cell_angle_alpha 90.00
_cell_angle_beta 100.07
_cell_angle_gamma 90.00
loop_
_symmetry_equiv_pos_as_xyz
'x,y,z'
loop_
_atom_site_label
_atom_site_type_symbol
_atom_site_fract_x
_atom_site_fract_y
_atom_site_fract_z
Np1 Np 0.1721 0.1610 0.4189
Np2 Np 0.1721 0.3390 0.9189
Np3 Np 0.8279 0.6610 0.0811
Np4 Np 0.8279 0.8390 0.5811
Os1 Os 0.1778 0.6585 0.4613
Os2 Os 0.1778 0.8415 0.9613
Os3 Os 0.8222 0.1585 0.0387
Os4 Os 0.8222 0.3415 0.5387
W1 W 0.4720 0.6279 0.2592
W2 W 0.4720 0.8721 0.7592
W3 W 0.5280 0.1279 0.2408
W4 W 0.5280 0.3721 0.7408
```

Results
Its space-group type is P2_1/c, No. 14. Its density is 19.1 Mg/m³. As for the size of the total moment: 2.432 μB per formula unit. The calculation puts the total DFT energy (no corrections) at -12.098 eV per atom.

=====

No. 5
Density functional theory data (PBE-GGA) for a geometry-optimized Hf2CoAgSb structure.

CIF file:
```
data_Hf2CoAgSb
_symmetry_space_group_name_H-M 'P 1'
_symmetry_Int_Tables_number 1
_cell_length_a 5.0870
_cell_length_b 5.0870
_cell_length_c 4.9205
_cell_angle_alpha 90.00
_cell_angle_beta 90.00
_cell_angle_gamma 90.00
loop_
_symmetry_equiv_pos_as_xyz
'x,y,z'
loop_
_atom_site_label
_atom_site_type_symbol
_atom_site_fract_x
_atom_site_fract_y
_atom_site_fract_z
Hf1 Hf 0.0000 0.5000 0.0000
Hf2 Hf 0.5000 0.0000 0.0000
Co1 Co 0.0000 0.0000 0.5000
Ag1 Ag 0.5000 0.5000 0.0000
Sb1 Sb 0.5000 0.5000 0.5000
```

Results
The formation energy from raw total energies is 1.413 eV/atom. Its space-group type is P4/mmm, No. 123. Its density is 8.4 Mg/m³. As for the size of the total moment: 1.613 μB per formula unit.

=====

No. 6
Density functional theory data (PBE-GGA) for a geometry-optimized Ga3Si structure.

CIF file:
```
data_Ga3Si
_symmetry_space_group_name_H-M 'P 1'
_symmetry_Int_Tables_number 1
_cell_length_a 2.9449
_cell_length_b 3.8041
_cell_length_c 7.0216
_cell_angle_alpha 90.00
_cell_angle_beta 90.00
_cell_angle_gamma 90.00
loop_
_symmetry_equiv_pos_as_xyz
'x,y,z'
loop_
_atom_site_label
_atom_site_type_symbol
_atom_site_fract_x
_atom_site_fract_y
_atom_site_fract_z
Ga1 Ga 0.0000 0.0000 0.0000
Ga2 Ga 0.0000 0.5000 0.4727
Ga3 Ga 0.5000 0.5000 0.8046
Si1 Si 0.5000 0.0000 0.3138
```

Results
The formation energy from raw total energies is 0.166 eV/atom. Its space-group type is Pmm2, No. 25. Its density is 5.0 Mg/m³. As for the size of the total moment: 0.000 μB per formula unit.

=====

No. 7
Density functional theory data (PBE-GGA) for a geometry-optimized Dy5AsS5 structure.

CIF file:
```
data_Dy5AsS5
_symmetry_space_group_name_H-M 'P 1'
_symmetry_Int_Tables_number 1
_cell_length_a 6.8298
_cell_length_b 6.8298
_cell_length_c 7.9040
_cell_angle_alpha 106.79
_cell_angle_beta 106.79
_cell_angle_gamma 48.24
loop_
_symmetry_equiv_pos_as_xyz
'x,y,z'
loop_
_atom_site_label
_atom_site_type_symbol
_atom_site_fract_x
_atom_site_fract_y
_atom_site_fract_z
Dy1 Dy 0.0000 0.0000 0.0000
Dy2 Dy 0.3337 0.3337 0.6609
Dy3 Dy 0.3379 0.3379 0.1764
Dy4 Dy 0.6621 0.6621 0.8236
Dy5 Dy 0.6663 0.6663 0.3391
As1 As 0.5000 0.5000 0.0000
S1 S 0.1681 0.1681 0.3322
S2 S 0.1718 0.1718 0.8404
S3 S 0.5000 0.5000 0.5000
S4 S 0.8282 0.8282 0.1596
S5 S 0.8319 0.8319 0.6678
```

Results
The formation energy from raw total energies is -1.979 eV/atom. Its space-group type is C2/m, No. 12. Its density is 6.7 Mg/m³. As for the size of the total moment: 0.000 μB per formula unit.

=====

No. 8
Density functional theory data (PBE-GGA) for a geometry-optimized Li2Mg structure.

CIF file:
```
data_Li2Mg
_symmetry_space_group_name_H-M 'P 1'
_symmetry_Int_Tables_number 1
_cell_length_a 6.6840
_cell_length_b 6.6840
_cell_length_c 6.6840
_cell_angle_alpha 90.00
_cell_angle_beta 90.00
_cell_angle_gamma 90.00
loop_
_symmetry_equiv_pos_as_xyz
'x,y,z'
loop_
_atom_site_label
_atom_site_type_symbol
_atom_site_fract_x
_atom_site_fract_y
_atom_site_fract_z
Li1 Li 0.1277 0.1277 0.1277
Li2 Li 0.1277 0.3723 0.6277
Li3 Li 0.3723 0.6277 0.1277
Li4 Li 0.3723 0.8723 0.6277
Li5 Li 0.6277 0.1277 0.3723
Li6 Li 0.6277 0.3723 0.8723
Li7 Li 0.8723 0.6277 0.3723
Li8 Li 0.8723 0.8723 0.8723
Mg1 Mg 0.0000 0.0000 0.5000
Mg2 Mg 0.0000 0.5000 0.0000
Mg3 Mg 0.5000 0.0000 0.0000
Mg4 Mg 0.5000 0.5000 0.5000
```

Results
Its space-group type is Pa-3, No. 205. Its density is 0.8 Mg/m³. As for the size of the total moment: 0.000 μB per formula unit. The calculation puts the total DFT energy (no corrections) at -1.516 eV per atom.

=====

No. 9
Density functional theory data (PBE-GGA) for a geometry-optimized Li2ZrTa structure.

CIF file:
```
data_Li2ZrTa
_symmetry_space_group_name_H-M 'P 1'
_symmetry_Int_Tables_number 1
_cell_length_a 6.1456
_cell_length_b 6.1456
_cell_length_c 6.1456
_cell_angle_alpha 152.25
_cell_angle_beta 133.62
_cell_angle_gamma 54.91
loop_
_symmetry_equiv_pos_as_xyz
'x,y,z'
loop_
_atom_site_label
_atom_site_type_symbol
_atom_site_fract_x
_atom_site_fract_y
_atom_site_fract_z
Li1 Li 0.2396 0.2396 0.0000
Li2 Li 0.7604 0.7604 0.0000
Zr1 Zr 0.5000 0.0000 0.5000
Ta1 Ta 0.0000 0.5000 0.5000
```

Results
As for the energy relative to the lowest polymorph listed for this composition: 12.9 kJ per mole of atoms. Its space-group type is Immm, No. 71. Its density is 6.1 Mg/m³. As for the size of the total moment: 0.000 μB per formula unit.

=====

No. 10
Density functional theory data (PBE-GGA) for a geometry-optimized GeIrRh2N structure.

CIF file:
```
data_GeIrRh2N
_symmetry_space_group_name_H-M 'P 1'
_symmetry_Int_Tables_number 1
_cell_length_a 4.2434
_cell_length_b 4.2434
_cell_length_c 3.8905
_cell_angle_alpha 90.00
_cell_angle_beta 90.00
_cell_angle_gamma 90.00
loop_
_symmetry_equiv_pos_as_xyz
'x,y,z'
loop_
_atom_site_label
_atom_site_type_symbol
_atom_site_fract_x
_atom_site_fract_y
_atom_site_fract_z
Ge1 Ge 0.0000 0.0000 0.0000
Ir1 Ir 0.5000 0.5000 0.0000
Rh1 Rh 0.0000 0.5000 0.5000
Rh2 Rh 0.5000 0.0000 0.5000
N1 N 0.5000 0.5000 0.5000
```

Results
The formation energy from raw total energies is 0.347 eV/atom. Its space-group type is P4/mmm, No. 123. Its density is 11.5 Mg/m³. As for the size of the total moment: 0.000 μB per formula unit.

=====

No. 11
Density functional theory data (PBE-GGA) for a geometry-optimized Ca2ZnBi structure.

CIF file:
```
data_Ca2ZnBi
_symmetry_space_group_name_H-M 'P 1'
_symmetry_Int_Tables_number 1
_cell_length_a 5.4578
_cell_length_b 5.4578
_cell_length_c 5.4578
_cell_angle_alpha 60.00
_cell_angle_beta 60.00
_cell_angle_gamma 60.00
loop_
_symmetry_equiv_pos_as_xyz
'x,y,z'
loop_
_atom_site_label
_atom_site_type_symbol
_atom_site_fract_x
_atom_site_fract_y
_atom_site_fract_z
Ca1 Ca 0.2500 0.2500 0.2500
Ca2 Ca 0.7500 0.7500 0.7500
Zn1 Zn 0.0000 0.0000 0.0000
Bi1 Bi 0.5000 0.5000 0.5000
```

Results
As for the energy relative to the lowest polymorph listed for this composition: 3.4 kJ per mole of atoms. Its space-group type is Fm-3m, No. 225. Its density is 5.1 Mg/m³. As for the size of the total moment: 0.000 μB per formula unit.

=====

No. 12
Density functional theory data (PBE-GGA) for a geometry-optimized TaCo2Ag structure.

CIF file:
```
data_TaCo2Ag
_symmetry_space_group_name_H-M 'P 1'
_symmetry_Int_Tables_number 1
_cell_length_a 5.4559
_cell_length_b 5.4559
_cell_length_c 5.4559
_cell_angle_alpha 104.67
_cell_angle_beta 104.67
_cell_angle_gamma 119.58
loop_
_symmetry_equiv_pos_as_xyz
'x,y,z'
loop_
_atom_site_label
_atom_site_type_symbol
_atom_site_fract_x
_atom_site_fract_y
_atom_site_fract_z
Ta1 Ta 0.0000 0.0000 0.0000
Ta2 Ta 0.7500 0.2500 0.5000
Co1 Co 0.1027 0.6250 0.9777
Co2 Co 0.3750 0.3527 0.4777
Co3 Co 0.6473 0.1250 0.0223
Co4 Co 0.8750 0.8973 0.5223
Ag1 Ag 0.2500 0.7500 0.5000
Ag2 Ag 0.5000 0.5000 0.0000
```

Results
As for the energy relative to the lowest polymorph listed for this composition: 48.9 kJ per mole of atoms. Its space-group type is I-42d, No. 122. Its density is 11.1 Mg/m³. As for the size of the total moment: 0.000 μB per formula unit.

=====

Copy entry 5 word for word.
Density functional theory data (PBE-GGA) for a geometry-optimized Hf2CoAgSb structure.

CIF file:
```
data_Hf2CoAgSb
_symmetry_space_group_name_H-M 'P 1'
_symmetry_Int_Tables_number 1
_cell_length_a 5.0870
_cell_length_b 5.0870
_cell_length_c 4.9205
_cell_angle_alpha 90.00
_cell_angle_beta 90.00
_cell_angle_gamma 90.00
loop_
_symmetry_equiv_pos_as_xyz
'x,y,z'
loop_
_atom_site_label
_atom_site_type_symbol
_atom_site_fract_x
_atom_site_fract_y
_atom_site_fract_z
Hf1 Hf 0.0000 0.5000 0.0000
Hf2 Hf 0.5000 0.0000 0.0000
Co1 Co 0.0000 0.0000 0.5000
Ag1 Ag 0.5000 0.5000 0.0000
Sb1 Sb 0.5000 0.5000 0.5000
```

Results
The formation energy from raw total energies is 1.413 eV/atom. Its space-group type is P4/mmm, No. 123. Its density is 8.4 Mg/m³. As for the size of the total moment: 1.613 μB per formula unit.

=====

Among the records above, which one has the highest size of the total moment?
Ca3NiW

=====

Copy entry 4 word for word.
Density functional theory data (PBE-GGA) for a geometry-optimized NpOsW structure.

CIF file:
```
data_NpOsW
_symmetry_space_group_name_H-M 'P 1'
_symmetry_Int_Tables_number 1
_cell_length_a 7.5646
_cell_length_b 5.4684
_cell_length_c 5.2291
_cell_angle_alpha 90.00
_cell_angle_beta 100.07
_cell_angle_gamma 90.00
loop_
_symmetry_equiv_pos_as_xyz
'x,y,z'
loop_
_atom_site_label
_atom_site_type_symbol
_atom_site_fract_x
_atom_site_fract_y
_atom_site_fract_z
Np1 Np 0.1721 0.1610 0.4189
Np2 Np 0.1721 0.3390 0.9189
Np3 Np 0.8279 0.6610 0.0811
Np4 Np 0.8279 0.8390 0.5811
Os1 Os 0.1778 0.6585 0.4613
Os2 Os 0.1778 0.8415 0.9613
Os3 Os 0.8222 0.1585 0.0387
Os4 Os 0.8222 0.3415 0.5387
W1 W 0.4720 0.6279 0.2592
W2 W 0.4720 0.8721 0.7592
W3 W 0.5280 0.1279 0.2408
W4 W 0.5280 0.3721 0.7408
```

Results
Its space-group type is P2_1/c, No. 14. Its density is 19.1 Mg/m³. As for the size of the total moment: 2.432 μB per formula unit. The calculation puts the total DFT energy (no corrections) at -12.098 eV per atom.